[1]
Density functional theory data (PBE) for MnAg2Sn3S8 after structural relaxation.

Summary:
Total magnetic moment in μB per cell: 3.584
Energy above the lowest structure with this stoichiometry in meV per atom: 276
Calculated density in g/cm3: 4.05
ΔE_f (raw) in meV/atom: -86

Cell: 7.5708 7.5708 7.5825 Å, 76.45 76.45 60.02°
Last column: nearest neighbours and their distance in Å.
Positions (direct):
S: 0.9373 0.4035 0.8405  1 Ag 2.51, 2 Sn 2.72-2.78
S: 0.0627 0.5965 0.1595  1 Ag 2.51, 2 Sn 2.72-2.78
S: 0.6620 0.1901 0.5986  1 S 2.10, 1 Mn 2.26
S: 0.5965 0.0627 0.1595  1 Ag 2.51, 2 Sn 2.72-2.78
S: 0.8099 0.3380 0.4014  1 S 2.10, 1 Mn 2.26
Ag: 0.5000 0.0000 0.5000  4 S 2.51-2.61
Sn: 0.6874 0.6874 0.0712  4 S 2.72-2.78
Ag: 0.0000 0.5000 0.5000  4 S 2.51-2.61
Sn: 0.3126 0.3126 0.9288  4 S 2.72-2.78
S: 0.3380 0.8099 0.4014  1 S 2.10, 1 Mn 2.26
S: 0.1901 0.6620 0.5986  1 S 2.10, 1 Mn 2.26
Mn: 0.0000 0.0000 0.5000  4 S 2.26
S: 0.4035 0.9373 0.8405  1 Ag 2.51, 2 Sn 2.72-2.78
Sn: 0.0000 0.0000 0.0000  4 S 2.85

[2]
Density functional theory data (PBE) for TiBi3H after structural relaxation.

Summary:
Energy in eV per cell: -20.5
Total magnetic moment in μB per cell: 1.867
Calculated density in g/cm3: 9.67

Cell: 4.8772 4.8772 4.8772 Å, 90.00 90.00 90.00°
Last column: nearest neighbours and their distance in Å.
Positions (direct):
Ti: 0.5000 0.5000 0.5000  12 Bi 3.45
H: 0.0000 0.0000 0.0000  6 Bi 2.44
Bi: 0.0000 0.0000 0.5000  2 H 2.44
Bi: 0.0000 0.5000 0.0000  2 H 2.44
Bi: 0.5000 0.0000 0.0000  2 H 2.44

[3]
Density functional theory data (PBE) for Tb4Tl5Zn2 after structural relaxation.

Summary:
Total magnetic moment in μB per cell: 0.000
Energy of formation from the pure elements in meV/atom: -287
Calculated density in g/cm3: 10.36

Cell: 3.6792 8.1245 9.5925 Å, 91.27 90.00 90.00°
Last column: nearest neighbours and their distance in Å.
Positions (direct):
Zn: 0.0000 0.0743 0.6206  1 Zn 2.59
Tl: 0.0000 0.1322 0.1341  1 Zn 2.92
Tl: 0.0000 0.8678 0.8659  1 Zn 2.92
Zn: 0.0000 0.9257 0.3794  1 Zn 2.59
Tb: 0.5000 0.2078 0.8566  2 Zn 3.09, 8 Tl 3.28-3.32
Tl: 0.0000 0.4400 0.6570  1 Zn 2.98, 2 Tl 3.19-3.32, 4 Tb 3.28-3.29
Tl: 0.0000 0.5000 0.0000  4 Tl 3.28-3.32, 4 Tb 3.28
Tl: 0.0000 0.5600 0.3430  1 Zn 2.98, 2 Tl 3.19-3.32, 4 Tb 3.28-3.29
Tb: 0.5000 0.7922 0.1434  2 Zn 3.09, 8 Tl 3.28-3.32
Tb: 0.5000 0.7655 0.5948  4 Zn 3.08-3.12, 6 Tl 3.28-3.44
Tb: 0.5000 0.2345 0.4052  4 Zn 3.08-3.12, 6 Tl 3.28-3.44

[4]
Density functional theory data (PBE) for Cs4RbP4 after structural relaxation.

Summary:
Total magnetic moment in μB per cell: 6.123
Energy of formation from the pure elements in meV/atom: -266
Calculated density in g/cm3: 3.05

Cell: 7.0039 10.7278 10.7278 Å, 90.00 90.00 90.00°
Last column: nearest neighbours and their distance in Å.
Positions (direct):
P: 0.6739 0.2589 0.6656  1 P 2.11
Cs: 0.6603 0.9249 0.6969  5 P 3.60-3.88
Cs: 0.1603 0.1969 0.5751  5 P 3.60-3.88
P: 0.8261 0.7589 0.1656  1 P 2.11
Cs: 0.8397 0.4249 0.1969  5 P 3.60-3.88
P: 0.1739 0.8344 0.7589  1 P 2.11
Cs: 0.6603 0.0751 0.3031  5 P 3.60-3.88
Cs: 0.1603 0.8031 0.4249  5 P 3.60-3.88
P: 0.8261 0.2411 0.8344  1 P 2.11
Rb: 0.5000 0.5000 0.5000  4 P 3.37
P: 0.3261 0.6656 0.7411  1 P 2.11
P: 0.1739 0.1656 0.2411  1 P 2.11
Cs: 0.8397 0.5751 0.8031  5 P 3.60-3.88
P: 0.6739 0.7411 0.3344  1 P 2.11
Cs: 0.3397 0.3031 0.9249  5 P 3.60-3.88
P: 0.3261 0.3344 0.2589  1 P 2.11
Cs: 0.3397 0.6969 0.0751  5 P 3.60-3.88
Rb: 0.0000 0.0000 0.0000  4 P 3.37

[5]
Density functional theory data (PBE) for PmTmNp after structural relaxation.

Summary:
Total magnetic moment in μB per cell: 2.520
Energy of formation from the pure elements in meV/atom: 241
Calculated density in g/cm3: 10.61

Cell: 3.5341 5.9537 8.5733 Å, 102.04 101.89 90.00°
Last column: nearest neighbours and their distance in Å.
Positions (direct):
Np: 0.7619 0.1377 0.5237  2 Np 2.39
Np: 0.2381 0.8623 0.4763  2 Np 2.39
Tm: 0.4326 0.2061 0.8651  3 Np 3.32-3.46, 3 Tm 3.53-3.68, 6 Pm 3.56-3.60
Pm: 0.8770 0.6762 0.7539  4 Np 3.30-3.68, 2 Pm 3.53, 6 Tm 3.56-3.60
Pm: 0.1230 0.3238 0.2461  4 Np 3.30-3.68, 2 Pm 3.53, 6 Tm 3.56-3.60
Tm: 0.5674 0.7939 0.1349  3 Np 3.32-3.46, 3 Tm 3.53-3.68, 6 Pm 3.56-3.60

[6]
Density functional theory data (PBE) for Nb3IBr7 after structural relaxation.

Summary:
Total magnetic moment in μB per cell: 0.983
Calculated density in g/cm3: 4.77
ΔE_f (raw) in meV/atom: -865

Cell: 7.4331 7.2205 7.2205 Å, 120.00 90.00 90.00°
Last column: nearest neighbours and their distance in Å.
Positions (direct):
Br: 0.0168 0.6628 0.8314  2 Nb 2.60
Br: 0.0168 0.1686 0.8314  2 Nb 2.60
Nb: 0.7794 0.4687 0.5313  5 Br 2.60-2.86, 1 I 2.76
Br: 0.5897 0.8351 0.6702  2 Nb 2.71
Nb: 0.7794 0.0627 0.5313  5 Br 2.60-2.86, 1 I 2.76
Br: 0.9713 0.6667 0.3333  3 Nb 2.86
Br: 0.5897 0.3298 0.1649  2 Nb 2.71
I: 0.4861 0.3333 0.6667  3 Nb 2.76
Nb: 0.7794 0.4687 0.9373  5 Br 2.60-2.86, 1 I 2.76
Br: 0.0168 0.1686 0.3372  2 Nb 2.60
Br: 0.5897 0.8351 0.1649  2 Nb 2.71

[7]
Density functional theory data (PBE) for KBa2CaPd after structural relaxation.

Summary:
Total magnetic moment in μB per cell: 0.000
Energy above the lowest structure with this stoichiometry in meV per atom: 175
Energy of formation from the pure elements in meV/atom: -62
Calculated density in g/cm3: 3.02

Cell: 6.2595 6.2595 6.4681 Å, 90.00 90.00 90.00°
Last column: nearest neighbours and their distance in Å.
Positions (direct):
Ba: 0.0000 0.5000 0.0000  2 Pd 3.13
K: 0.0000 0.0000 0.5000  2 Pd 3.23
Ca: 0.5000 0.5000 0.5000  4 K 4.43, 8 Ba 4.50
Ba: 0.5000 0.0000 0.0000  2 Pd 3.13
Pd: 0.0000 0.0000 0.0000  4 Ba 3.13, 2 K 3.23

[8]
Density functional theory data (PBE) for Sc2Fe2Cu after structural relaxation.

Summary:
Total magnetic moment in μB per cell: 2.692
Energy above the lowest structure with this stoichiometry in meV per atom: 376
Energy of formation from the pure elements in meV/atom: 307
Calculated density in g/cm3: 5.13

Cell: 4.9279 4.9279 4.9649 Å, 60.25 60.25 90.00°
Last column: nearest neighbours and their distance in Å.
Positions (direct):
Sc: 0.2500 0.7500 0.5000  4 Fe 2.55
Cu: 0.0000 0.0000 0.0000  2 Fe 2.44
Sc: 0.7500 0.2500 0.5000  4 Fe 2.55
Fe: 0.3444 0.3444 0.3111  1 Fe 2.20, 1 Cu 2.44
Fe: 0.6556 0.6556 0.6889  1 Fe 2.20, 1 Cu 2.44

[9]
Density functional theory data (PBE) for ZrCd2As after structural relaxation.

Summary:
Total magnetic moment in μB per cell: 0.000
Energy of formation from the pure elements in meV/atom: 69
Calculated density in g/cm3: 7.46

Cell: 10.1295 10.1295 10.1295 Å, 18.03 18.03 18.03°
Last column: nearest neighbours and their distance in Å.
Positions (direct):
Cd: 0.4973 0.4973 0.4973  3 As 3.03, 3 Zr 3.16, 6 Cd 3.18
Cd: 0.0027 0.0027 0.0027  3 As 3.03, 3 Zr 3.16, 6 Cd 3.18
Zr: 0.2500 0.2500 0.2500  6 Cd 3.16, 6 Zr 3.18
As: 0.7500 0.7500 0.7500  6 Cd 3.03, 6 As 3.18

[10]
Density functional theory data (PBE) for La2SmTc2N6 after structural relaxation.

Summary:
Total magnetic moment in μB per cell: 0.000
Calculated density in g/cm3: 6.55
ΔE_f (raw) in meV/atom: -687

Cell: 5.8056 5.8056 7.0057 Å, 65.52 65.52 60.00°
Last column: nearest neighbours and their distance in Å.
Positions (direct):
N: 0.7726 0.2610 0.7053  1 Tc 1.80
Tc: 0.5977 0.5977 0.2070  3 N 1.80
La: 0.7918 0.7918 0.6245  3 N 2.61
N: 0.7390 0.7390 0.2947  1 Tc 1.80
N: 0.2274 0.7390 0.2947  1 Tc 1.80
Tc: 0.4023 0.4023 0.7930  3 N 1.80
La: 0.2082 0.2082 0.3755  3 N 2.61
Sm: 0.0000 0.0000 0.0000  6 N 2.44
N: 0.2610 0.2610 0.7053  1 Tc 1.80
N: 0.2610 0.7726 0.7053  1 Tc 1.80
N: 0.7390 0.2274 0.2947  1 Tc 1.80

[11]
Density functional theory data (PBE) for YZnB after structural relaxation.

Summary:
Total magnetic moment in μB per cell: 0.000
Energy above the lowest structure with this stoichiometry in meV per atom: 803
Energy of formation from the pure elements in meV/atom: 430
Calculated density in g/cm3: 4.63

Cell: 3.7143 3.7143 9.9151 Å, 90.00 90.00 120.00°
Last column: nearest neighbours and their distance in Å.
Positions (direct):
Zn: 0.6667 0.3333 0.7500  3 B 2.14
B: 0.0000 0.0000 0.2500  3 Zn 2.14
B: 0.0000 0.0000 0.7500  3 Zn 2.14
Zn: 0.3333 0.6667 0.2500  3 B 2.14
Y: 0.0000 0.0000 0.5000  2 B 2.48
Y: 0.0000 0.0000 0.0000  2 B 2.48

[12]
Density functional theory data (PBE) for LiReP2 after structural relaxation.

Summary:
Total magnetic moment in μB per cell: 0.000
Energy above the lowest structure with this stoichiometry in meV per atom: 141
Energy of formation from the pure elements in meV/atom: -179
Calculated density in g/cm3: 7.13

Cell: 4.1114 4.1114 5.1210 Å, 78.68 78.68 44.62°
Last column: nearest neighbours and their distance in Å.
Positions (direct):
P: 0.4857 0.4857 0.5522  3 Re 2.43-2.44, 2 P 2.60, 1 Li 2.61
Re: 0.7500 0.7500 0.7500  6 P 2.43-2.44
Li: 0.2500 0.2500 0.2500  6 P 2.61-2.75
P: 0.0143 0.0143 0.9478  3 Re 2.43-2.44, 2 P 2.60, 1 Li 2.61